## HfCrN2O (PBE with a Hubbard U)

Data for HfCrN2O after structural relaxation.

The structure belongs to space group P4/mmm (No. 123); the cell edges are 3.766, 3.766 and 3.714 Å and the angles 90.00°, 90.00° and 90.00°. Symmetry generates all atoms from Hf at (0.000, 0.000, 0.000), Cr at (0.500, 0.500, 0.500), N at (0.000, 0.500, 0.500) and O at (0.500, 0.500, 0.000).

The total energy is -8.32 eV/atom. The calculation puts the total magnetization at 2.022 μB per formula unit.